# 1
# VAsBr2O

A relaxed VAsBr2O crystal (PBE with a Hubbard U, the Alexandria database).

```
VAsBr2O
1.0
3.725 0.000 0.000
0.000 5.100 0.000
0.000 0.000 6.321
V As Br O
1 1 2 1
direct
0.000 0.000 0.000
0.500 0.000 0.500
0.500 0.500 0.000
0.500 0.500 0.500
0.000 0.500 0.500
```

Results
magnetization: 2.9 μB/f.u.
N(E_F): 2.7 states/eV per cell
energy above the lowest structure with this stoichiometry: 0.0 meV/atom



# 2
# VAsBr2O

A relaxed VAsBr2O crystal (PBE with a Hubbard U, the Alexandria database).

```
VAsBr2O
1.0
4.815 0.000 0.000
0.000 4.815 0.000
0.000 0.000 4.947
V As Br O
1 1 2 1
direct
0.000 0.000 0.000
0.000 0.000 0.500
0.000 0.500 0.000
0.500 0.000 0.000
0.500 0.500 0.500
```

Results
magnetization: 0.3 μB/f.u.
N(E_F): 9.1 states/eV per cell
energy above the lowest structure with this stoichiometry: 124.7 meV/atom